SbPb at its PBEsol-relaxed geometry. Source: the Alexandria database, functional meta-GGA SCAN.

Output
* DOS at the Fermi energy: 0.436 states/eV/atom
* space-group type: P2_1/m (11)
* ρ: 9.5 g/cm³
* VASP energy: -56.43 eV per atom
* V: 28.82 Å³/atom
* ΔE_f (raw): 91 meV/atom

Unit cell a=3.3527 b=5.3977 c=6.5187 alpha=90.00 beta=102.28 gamma=90.00
Sites, in units of the cell vectors:
Sb 0.1270 0.2500 0.1776
Sb 0.8730 0.7500 0.8224
Pb 0.3381 0.2500 0.6753
Pb 0.6619 0.7500 0.3247